UNb2MoC4: optimized geometry, PBE.

Unit cell a=3.230 b=5.931 c=11.195 alpha=90.00 beta=90.00 gamma=105.80
Site moments in Bohr magnetons follow the coordinates.
Atoms (fractional coordinates):
Nb: 0.629 0.258 0.036  -0.02
Nb: 0.371 0.742 0.536  -0.02
Nb: 0.629 0.258 0.464  -0.02
Nb: 0.371 0.742 0.964  -0.02
U: 0.880 0.759 0.250  1.22
U: 0.120 0.241 0.750  1.22
C: 0.464 0.929 0.750  -0.02
C: 0.536 0.071 0.250  -0.02
C: 0.000 0.000 0.000  -0.01
C: 0.264 0.529 0.383  -0.02
C: 0.736 0.471 0.883  -0.02
C: 0.000 0.000 0.500  -0.01
C: 0.264 0.529 0.117  -0.02
C: 0.736 0.471 0.617  -0.02
Mo: 0.855 0.709 0.750  0.03
Mo: 0.145 0.291 0.250  0.03

Computed properties:
VASP energy   -10.04 eV/atom
Formation energy from the elements   -1.2 eV/f.u.
Space group   Cmcm



CaYBr2: optimized geometry, PBE.

Unit cell a=7.225 b=7.225 c=3.952 alpha=74.13 beta=74.13 gamma=32.92
Site moments in Bohr magnetons follow the coordinates.
Atoms (fractional coordinates):
Ca: 0.537 0.537 0.463  0.08
Y: 0.295 0.295 0.205  0.17
Br: 0.712 0.712 0.788  0.01
Br: 0.956 0.956 0.044  0.01

Computed properties:
VASP energy   -3.99 eV/atom
Raw formation energy   -1.040 eV/atom
Space group   Imm2



EuNpIrRh: optimized geometry, PBE.

Unit cell a=4.879 b=4.879 c=4.879 alpha=60.00 beta=60.00 gamma=60.00
Site moments in Bohr magnetons follow the coordinates.
Atoms (fractional coordinates):
Eu: 0.000 0.000 0.000  6.71
Ir: 0.250 0.250 0.250  -0.38
Np: 0.500 0.500 0.500  3.57
Rh: 0.750 0.750 0.750  -0.43

Computed properties:
VASP energy   -10.12 eV/atom
Formation energy from the elements   -1.0 eV/f.u.
Space group   F-43m



Look up the VASP energy of the first one.
-10.04 eV/atom